Record 1
DFT (GGA-PBE) results for a geometry-optimized Na2LaNbCd structure.

abc: 5.8723 5.2887 5.8723
angles: 90.00 90.00 90.00
Closest atoms and distances in Å follow each position.
Sites, in units of the cell vectors:
Na 0.0000 0.0000 0.5000  2 Nb 2.94
La 0.0000 0.5000 0.0000  2 Nb 2.64
Nb 0.0000 0.0000 0.0000  2 La 2.64, 4 Na 2.94
Na 0.5000 0.0000 0.0000  2 Nb 2.94
Cd 0.5000 0.5000 0.5000  8 Na 3.95, 4 La 4.15

As for the formation enthalpy at 0 K: 908 meV per atom. The density of states at the Fermi level comes out at 0.8491 states/eV/atom. The crystal system is tetragonal. The total magnetic moment comes out at 1.89 Bohr magnetons per cell. The value obtained for the total energy is -2.80 eV per atom.



Record 2
DFT (GGA-PBE) results for a geometry-optimized LiDyHg4 structure.

abc: 3.8637 5.4594 7.6449
angles: 102.19 75.36 69.28
Closest atoms and distances in Å follow each position.
Sites, in units of the cell vectors:
Hg 0.1828 0.4800 0.1544  3 Li 3.03-3.22, 5 Hg 3.05-3.14, 2 Dy 3.18
Dy 0.5000 0.5000 0.5000  10 Hg 3.17-3.21
Hg 0.3478 0.9878 0.3165  2 Li 3.05, 5 Hg 3.12-3.30, 3 Dy 3.17-3.21
Hg 0.8172 0.5200 0.8456  3 Li 3.03-3.22, 5 Hg 3.05-3.14, 2 Dy 3.18
Hg 0.6522 0.0122 0.6835  2 Li 3.05, 5 Hg 3.12-3.30, 3 Dy 3.17-3.21
Li 0.0000 0.0000 0.0000  10 Hg 3.03-3.22

As for the formation enthalpy at 0 K: -318 meV per atom. The density of states at the Fermi level comes out at 0.3785 states/eV/atom. The crystal system is monoclinic. The total magnetic moment comes out at 0.00 Bohr magnetons per cell. The calculation puts the energy relative to the lowest polymorph listed for this composition at 0.0 meV per atom. The value obtained for the total energy is -1.61 eV per atom.



What is the formula in the second record?
LiDyHg4